No. 1
DFT (PBE) results for an optimized crystal structure of Th2CrAg.

Results
Space group ... P4/mmm, No. 123
Calculated formation energy ... 19.3 kJ per mole of atoms

abc: 3.452 3.452 8.156
angles: 90.00 90.00 90.00
Sites, in units of the cell vectors:
1 Th 0.000 0.000 0.223
2 Th 0.000 0.000 0.777
3 Cr 0.500 0.500 0.000
4 Ag 0.500 0.500 0.500

No. 2
DFT (PBE) results for an optimized crystal structure of KCu2SbTe4.

Results
Space group ... I222, No. 23
ΔE_f (raw) ... -0.16 eV per atom

abc: 7.042 8.704 9.216
angles: 90.00 90.00 90.00
Sites, in units of the cell vectors:
1 K 0.000 0.000 0.000
2 K 0.500 0.500 0.500
3 Cu 0.000 0.500 0.142
4 Cu 0.000 0.500 0.858
5 Cu 0.500 0.000 0.358
6 Cu 0.500 0.000 0.642
7 Sb 0.000 0.000 0.500
8 Sb 0.500 0.500 0.000
9 Te 0.234 0.183 0.328
10 Te 0.234 0.817 0.672
11 Te 0.266 0.317 0.828
12 Te 0.266 0.683 0.172
13 Te 0.734 0.317 0.172
14 Te 0.734 0.683 0.828
15 Te 0.766 0.183 0.672
16 Te 0.766 0.817 0.328

No. 3
DFT (PBE) results for an optimized crystal structure of CaY2Tc.

Results
Space group ... F-43m, No. 216
Calculated formation energy ... 40.7 kJ per mole of atoms

abc: 7.377 7.377 7.377
angles: 90.00 90.00 90.00
Sites, in units of the cell vectors:
1 Ca 0.000 0.000 0.000
2 Ca 0.000 0.500 0.500
3 Ca 0.500 0.000 0.500
4 Ca 0.500 0.500 0.000
5 Y 0.000 0.000 0.500
6 Y 0.000 0.500 0.000
7 Y 0.250 0.250 0.750
8 Y 0.250 0.750 0.250
9 Y 0.500 0.000 0.000
10 Y 0.500 0.500 0.500
11 Y 0.750 0.250 0.250
12 Y 0.750 0.750 0.750
13 Tc 0.250 0.250 0.250
14 Tc 0.250 0.750 0.750
15 Tc 0.750 0.250 0.750
16 Tc 0.750 0.750 0.250

No. 4
DFT (PBE) results for an optimized crystal structure of Ca2AlSb.

Results
Space group ... Cmmm, No. 65
ΔE_f (raw) ... -0.47 eV per atom

abc: 6.921 9.055 3.424
angles: 90.00 90.00 90.00
Sites, in units of the cell vectors:
1 Ca 0.250 0.250 0.000
2 Ca 0.250 0.750 0.000
3 Ca 0.750 0.250 0.000
4 Ca 0.750 0.750 0.000
5 Al 0.000 0.000 0.500
6 Al 0.500 0.500 0.500
7 Sb 0.000 0.500 0.500
8 Sb 0.500 0.000 0.500

No. 5
DFT (PBE) results for an optimized crystal structure of Be2AgAs.

Results
Space group ... C2/m, No. 12
Calculated formation energy ... 38.6 kJ per mole of atoms

abc: 5.249 6.153 3.412
angles: 90.00 90.72 90.00
Sites, in units of the cell vectors:
1 Be 0.250 0.250 0.000
2 Be 0.250 0.750 0.000
3 Be 0.750 0.250 0.000
4 Be 0.750 0.750 0.000
5 Ag 0.000 0.000 0.500
6 Ag 0.500 0.500 0.500
7 As 0.000 0.500 0.500
8 As 0.500 0.000 0.500

No. 6
DFT (PBE) results for an optimized crystal structure of LiAg2HgH.

Results
E_tot ... -11.389 eV/cell
Space group ... P4/mmm, No. 123

abc: 4.148 4.148 4.350
angles: 90.00 90.00 90.00
Sites, in units of the cell vectors:
1 Li 0.000 0.000 0.000
2 Ag 0.000 0.500 0.500
3 Ag 0.500 0.000 0.500
4 Hg 0.500 0.500 0.000
5 H 0.000 0.000 0.500

No. 7
DFT (PBE) results for an optimized crystal structure of AlBi.

Results
Space group ... Cmcm, No. 63
Calculated formation energy ... 14.8 kJ per mole of atoms

abc: 5.908 6.775 5.270
angles: 90.00 90.00 90.00
Sites, in units of the cell vectors:
1 Al 0.000 0.109 0.250
2 Al 0.000 0.891 0.750
3 Al 0.500 0.391 0.750
4 Al 0.500 0.609 0.250
5 Bi 0.000 0.323 0.750
6 Bi 0.000 0.677 0.250
7 Bi 0.500 0.177 0.250
8 Bi 0.500 0.823 0.750

No. 8
DFT (PBE) results for an optimized crystal structure of ZrSb2Se.

Results
Space group ... C2/m, No. 12
ΔE_f (raw) ... -0.15 eV per atom

abc: 5.892 9.121 4.113
angles: 90.00 114.47 90.00
Sites, in units of the cell vectors:
1 Zr 0.000 0.000 0.000
2 Zr 0.500 0.500 0.000
3 Sb 0.250 0.250 0.500
4 Sb 0.250 0.750 0.500
5 Sb 0.750 0.250 0.500
6 Sb 0.750 0.750 0.500
7 Se 0.000 0.500 0.000
8 Se 0.500 0.000 0.000

no.,Fermi-level density of states (states/eV/cell)
1,3.8
2,2.1
3,22.7
4,4.5
5,2.2
6,1.3
7,2.1
8,5.9